[1]
Na2ZrScW | PBE | relaxed

POSCAR file:
```
Na2ZrScW
1.0
5.3760 0.0000 0.0000
0.0000 4.9155 0.0000
0.0000 0.0000 5.3760
Sc Na Zr W
1 2 1 1
Direct
0.0000 0.5000 0.0000 Sc
0.0000 0.0000 0.5000 Na
0.5000 0.0000 0.0000 Na
0.5000 0.5000 0.5000 Zr
0.0000 0.0000 0.0000 W
```

- theoretical density (g/cm³) = 4.3
- VASP energy (eV per atom) = -4.4083
- total magnetization (μB/atom) = 0.065
- symmetry = P4/mmm (123)
- energy of formation from the pure elements (eV/atom) = 1.6859


[2]
Na3YSc | PBE | relaxed

POSCAR file:
```
Na3YSc
1.0
5.6420 0.0000 0.0000
0.0000 5.6420 0.0000
0.0000 0.0000 5.6420
Y Sc Na
1 1 3
Direct
0.5000 0.5000 0.5000 Y
0.0000 0.0000 0.0000 Sc
0.0000 0.5000 0.0000 Na
0.0000 0.0000 0.5000 Na
0.5000 0.0000 0.0000 Na
```

- theoretical density (g/cm³) = 1.9
- VASP energy (eV per atom) = -2.3499
- E above lowest polymorph (meV/atom) = 0
- total magnetization (μB/atom) = 0.476
- symmetry = Pm-3m (221)
- energy of formation from the pure elements (eV/atom) = 1.0006


[3]
NaY2Sc | PBE | relaxed

POSCAR file:
```
NaY2Sc
1.0
-1.8440 -2.6903 -1.2438
-0.2130 -1.3407 3.2159
-8.6610 5.1996 1.5941
Y Sc Na
2 1 1
Direct
0.0000 0.0000 0.7794 Y
0.0000 0.0000 0.2206 Y
0.5000 0.5000 0.0000 Sc
0.5000 0.5000 0.5000 Na
```

- theoretical density (g/cm³) = 3.3
- VASP energy (eV per atom) = -5.0052
- E above lowest polymorph (meV/atom) = 0
- total magnetization (μB/atom) = 0.000
- symmetry = P4/mmm (123)
- energy of formation from the pure elements (eV/atom) = 0.1394


[4]
NaYSc | PBE | relaxed

POSCAR file:
```
NaYSc
1.0
4.0510 0.0000 0.0000
0.0000 4.0510 0.0000
0.0000 0.0000 11.9959
Y Na Sc
2 2 2
Direct
0.5000 0.0000 0.2237 Y
0.0000 0.5000 0.7763 Y
0.5000 0.0000 0.5802 Na
0.0000 0.5000 0.4198 Na
0.5000 0.5000 0.0000 Sc
0.0000 0.0000 0.0000 Sc
```

- theoretical density (g/cm³) = 2.6
- VASP energy (eV per atom) = -4.3049
- E above lowest polymorph (meV/atom) = 205
- total magnetization (μB/atom) = 0.016
- symmetry = P4/nmm (129)
- energy of formation from the pure elements (eV/atom) = 0.4000


[5]
NaYSc2 | PBE | relaxed

POSCAR file:
```
NaYSc2
1.0
1.9266 0.0000 12.1725
-0.9633 1.6685 12.1725
-0.9633 -1.6685 12.1725
Y Sc Na
1 2 1
Direct
0.5000 0.5000 0.5000 Y
0.9086 0.9086 0.9086 Sc
0.0914 0.0914 0.0914 Sc
0.0000 0.0000 0.0000 Na
```

- theoretical density (g/cm³) = 2.9
- VASP energy (eV per atom) = -4.8643
- E above lowest polymorph (meV/atom) = 0
- total magnetization (μB/atom) = 0.000
- symmetry = R-3m (166)
- energy of formation from the pure elements (eV/atom) = 0.2473


[6]
NaYSc3 | PBE | relaxed

POSCAR file:
```
NaYSc3
1.0
-5.1489 -1.6103 0.9171
1.6336 -5.2227 0.0016
0.8748 0.2753 5.3949
Y Sc Na
1 3 1
Direct
0.0000 0.0000 0.0000 Y
0.0000 0.5000 0.0000 Sc
0.0000 0.0000 0.5000 Sc
0.5000 0.0000 0.0000 Sc
0.5000 0.5000 0.5000 Na
```

- theoretical density (g/cm³) = 2.5
- VASP energy (eV per atom) = -4.4600
- E above lowest polymorph (meV/atom) = 84
- total magnetization (μB/atom) = 0.000
- symmetry = Pm-3m (221)
- energy of formation from the pure elements (eV/atom) = 0.8956


[7]
NaYSc3 | PBE | relaxed

POSCAR file:
```
NaYSc3
1.0
5.2393 0.0000 0.0000
0.0000 5.2393 0.0000
0.0000 0.0000 5.2393
Y Sc Na
1 3 1
Direct
0.5000 0.5000 0.5000 Y
0.0000 0.5000 0.0000 Sc
0.0000 0.0000 0.5000 Sc
0.5000 0.0000 0.0000 Sc
0.0000 0.0000 0.0000 Na
```

- theoretical density (g/cm³) = 2.8
- VASP energy (eV per atom) = -4.5441
- E above lowest polymorph (meV/atom) = 0
- total magnetization (μB/atom) = 0.201
- symmetry = Pm-3m (221)
- energy of formation from the pure elements (eV/atom) = 0.8115


[8]
NaYSc | PBE | relaxed

POSCAR file:
```
NaYSc
1.0
-0.7919 -3.2287 -0.8503
-0.0538 0.9699 3.2910
-8.6192 2.3320 -0.8282
Y Sc Na
1 1 1
Direct
0.3333 0.6667 0.6425 Y
0.6667 0.3333 0.3505 Sc
0.0000 0.0000 0.0070 Na
```

- theoretical density (g/cm³) = 2.8
- VASP energy (eV per atom) = -4.5100
- E above lowest polymorph (meV/atom) = 0
- total magnetization (μB/atom) = 0.266
- symmetry = P3m1 (156)
- energy of formation from the pure elements (eV/atom) = 0.1949


[9]
NaY2Sc | PBE | relaxed

POSCAR file:
```
NaY2Sc
1.0
-6.3178 4.3062 -3.6883
-4.7386 -0.9782 6.9749
-4.3175 4.4834 2.8613
Y Sc Na
4 2 2
Direct
0.6048 0.1250 0.2500 Y
0.1452 0.6250 0.2500 Y
0.3750 0.3952 0.7500 Y
0.8750 0.8548 0.7500 Y
0.0000 0.0000 0.0000 Sc
0.7500 0.2500 0.5000 Sc
0.5000 0.5000 0.0000 Na
0.2500 0.7500 0.5000 Na
```

- theoretical density (g/cm³) = 3.4
- VASP energy (eV per atom) = -4.5941
- E above lowest polymorph (meV/atom) = 411
- total magnetization (μB/atom) = 0.000
- symmetry = I-42d (122)
- energy of formation from the pure elements (eV/atom) = 0.5506


[10]
NaY2Sc | PBE | relaxed

POSCAR file:
```
NaY2Sc
1.0
2.4770 -4.3336 2.3672
-2.5327 -4.9084 0.1107
1.8825 -4.1506 -3.1221
Y Sc Na
2 1 1
Direct
0.2500 0.2500 0.2500 Y
0.7500 0.7500 0.7500 Y
0.5000 0.5000 0.5000 Sc
0.0000 0.0000 0.0000 Na
```

- theoretical density (g/cm³) = 3.4
- VASP energy (eV per atom) = -4.8387
- E above lowest polymorph (meV/atom) = 167
- total magnetization (μB/atom) = 0.000
- symmetry = Fm-3m (225)
- energy of formation from the pure elements (eV/atom) = 0.3060


[11]
NaY2Sc2 | PBE | relaxed

POSCAR file:
```
NaY2Sc2
1.0
-0.7169 -4.6378 -8.1820
4.7168 -7.2765 3.7113
-2.9841 -1.3971 1.0534
Y Sc Na
4 4 2
Direct
0.1788 0.6788 0.5000 Y
0.6788 0.8212 0.5000 Y
0.8212 0.3212 0.5000 Y
0.3212 0.1788 0.5000 Y
0.3882 0.8882 0.0000 Sc
0.8882 0.6118 0.0000 Sc
0.6118 0.1118 0.0000 Sc
0.1118 0.3882 0.0000 Sc
0.0000 0.0000 0.0000 Na
0.5000 0.5000 0.0000 Na
```

- theoretical density (g/cm³) = 3.1
- VASP energy (eV per atom) = -5.0909
- E above lowest polymorph (meV/atom) = 0
- total magnetization (μB/atom) = 0.125
- symmetry = P4/mbm (127)
- energy of formation from the pure elements (eV/atom) = 0.2911


[12]
Na2Y2Sc | PBE | relaxed

POSCAR file:
```
Na2Y2Sc
1.0
9.0973 0.0000 0.0000
0.0000 9.0973 0.0000
0.0000 0.0000 3.6458
Y Sc Na
4 2 4
Direct
0.1964 0.6964 0.5000 Y
0.6964 0.8036 0.5000 Y
0.8036 0.3036 0.5000 Y
0.3036 0.1964 0.5000 Y
0.0000 0.0000 0.0000 Sc
0.5000 0.5000 0.0000 Sc
0.3915 0.8915 0.0000 Na
0.8915 0.6085 0.0000 Na
0.6085 0.1085 0.0000 Na
0.1085 0.3915 0.0000 Na
```

- theoretical density (g/cm³) = 3.0
- VASP energy (eV per atom) = -3.8872
- E above lowest polymorph (meV/atom) = 0
- total magnetization (μB/atom) = 0.000
- symmetry = P4/mbm (127)
- energy of formation from the pure elements (eV/atom) = 0.4924


[13]
NaY2Sc2 | PBE | relaxed

POSCAR file:
```
NaY2Sc2
1.0
9.3587 0.0000 0.0000
0.0000 9.3587 0.0000
0.0000 0.0000 3.5202
Y Sc Na
4 4 2
Direct
0.3746 0.8746 0.0000 Y
0.8746 0.6254 0.0000 Y
0.6254 0.1254 0.0000 Y
0.1254 0.3746 0.0000 Y
0.1678 0.6678 0.5000 Sc
0.6678 0.8322 0.5000 Sc
0.8322 0.3322 0.5000 Sc
0.3322 0.1678 0.5000 Sc
0.0000 0.0000 0.0000 Na
0.5000 0.5000 0.0000 Na
```

- theoretical density (g/cm³) = 3.1
- VASP energy (eV per atom) = -5.0463
- E above lowest polymorph (meV/atom) = 45
- total magnetization (μB/atom) = 0.000
- symmetry = P4/mbm (127)
- energy of formation from the pure elements (eV/atom) = 0.3358


[14]
Na3YSc | PBE | relaxed

POSCAR file:
```
Na3YSc
1.0
-4.1620 3.1719 -2.6408
-3.3541 -0.4140 4.7891
2.4051 4.9116 2.1090
Y Sc Na
1 1 3
Direct
0.0000 0.0000 0.0000 Y
0.5000 0.5000 0.5000 Sc
0.0000 0.5000 0.0000 Na
0.0000 0.0000 0.5000 Na
0.5000 0.0000 0.0000 Na
```

- theoretical density (g/cm³) = 1.7
- VASP energy (eV per atom) = -2.1188
- E above lowest polymorph (meV/atom) = 231
- total magnetization (μB/atom) = 0.521
- symmetry = Pm-3m (221)
- energy of formation from the pure elements (eV/atom) = 1.2318


[15]
NaYSc2 | PBE | relaxed

POSCAR file:
```
NaYSc2
1.0
-7.1970 -3.4534 2.2401
3.0783 -7.5109 -1.6888
-1.0042 -5.7270 3.2882
Y Sc Na
2 4 2
Direct
0.0000 0.0000 0.0000 Y
0.7500 0.2500 0.5000 Y
0.5992 0.1250 0.2500 Sc
0.1508 0.6250 0.2500 Sc
0.3750 0.4008 0.7500 Sc
0.8750 0.8492 0.7500 Sc
0.5000 0.5000 0.0000 Na
0.2500 0.7500 0.5000 Na
```

- theoretical density (g/cm³) = 3.0
- VASP energy (eV per atom) = -4.5536
- E above lowest polymorph (meV/atom) = 311
- total magnetization (μB/atom) = 0.000
- symmetry = I-42d (122)
- energy of formation from the pure elements (eV/atom) = 0.5580


[16]
NaY3Sc | PBE | relaxed

POSCAR file:
```
NaY3Sc
1.0
5.6545 0.0000 0.0000
0.0000 5.6545 0.0000
0.0000 0.0000 5.6545
Y Sc Na
3 1 1
Direct
0.0000 0.5000 0.0000 Y
0.0000 0.0000 0.5000 Y
0.5000 0.0000 0.0000 Y
0.0000 0.0000 0.0000 Sc
0.5000 0.5000 0.5000 Na
```

- theoretical density (g/cm³) = 3.1
- VASP energy (eV per atom) = -4.7921
- E above lowest polymorph (meV/atom) = 0
- total magnetization (μB/atom) = 0.000
- symmetry = Pm-3m (221)
- energy of formation from the pure elements (eV/atom) = 0.6164


[17]
NaY2Sc | PBE | relaxed

POSCAR file:
```
NaY2Sc
1.0
3.4391 0.0000 0.0000
1.7195 2.9783 0.0000
1.7195 0.9928 12.3853
Y Sc Na
2 1 1
Direct
0.0945 0.0945 0.7164 Y
0.9055 0.9055 0.2836 Y
0.5000 0.5000 0.5000 Sc
0.0000 0.0000 0.0000 Na
```

- theoretical density (g/cm³) = 3.2
- VASP energy (eV per atom) = -4.9732
- E above lowest polymorph (meV/atom) = 32
- total magnetization (μB/atom) = 0.000
- symmetry = R-3m (166)
- energy of formation from the pure elements (eV/atom) = 0.1715


[18]
NaYSc2 | PBE | relaxed

POSCAR file:
```
NaYSc2
1.0
0.0000 3.8197 3.8197
3.8197 0.0000 3.8197
3.8197 3.8197 0.0000
Y Sc Na
1 2 1
Direct
0.5000 0.5000 0.5000 Y
0.2500 0.2500 0.2500 Sc
0.7500 0.7500 0.7500 Sc
0.0000 0.0000 0.0000 Na
```

- theoretical density (g/cm³) = 3.0
- VASP energy (eV per atom) = -4.6983
- E above lowest polymorph (meV/atom) = 166
- total magnetization (μB/atom) = 0.000
- symmetry = Fm-3m (225)
- energy of formation from the pure elements (eV/atom) = 0.4133


[19]
Na2Y2Sc | PBE | relaxed

POSCAR file:
```
Na2Y2Sc
1.0
4.7162 0.0000 0.0000
0.0000 4.7162 0.0000
2.3581 2.3581 7.0578
Y Sc Na
2 1 2
Direct
0.7500 0.2500 0.5000 Y
0.2500 0.7500 0.5000 Y
0.0000 0.0000 0.0000 Sc
0.4124 0.4124 0.1753 Na
0.5876 0.5876 0.8247 Na
```

- theoretical density (g/cm³) = 2.8
- VASP energy (eV per atom) = -3.7174
- E above lowest polymorph (meV/atom) = 170
- total magnetization (μB/atom) = 0.000
- symmetry = I4/mmm (139)
- energy of formation from the pure elements (eV/atom) = 0.6621


[20]
Na2Sc2Zn | PBE | relaxed

POSCAR file:
```
Na2Sc2Zn
1.0
4.0197 0.0000 0.0000
0.0000 4.0197 0.0000
2.0099 2.0099 9.3374
Sc Na Zn
2 2 1
Direct
0.7500 0.2500 0.5000 Sc
0.2500 0.7500 0.5000 Sc
0.4075 0.4075 0.1849 Na
0.5925 0.5925 0.8151 Na
0.0000 0.0000 0.0000 Zn
```

- theoretical density (g/cm³) = 2.2
- VASP energy (eV per atom) = -2.8025
- E above lowest polymorph (meV/atom) = 27
- total magnetization (μB/atom) = 0.000
- symmetry = I4/mmm (139)
- energy of formation from the pure elements (eV/atom) = 0.5125